1.
Tb4ZrN4 | PBE | relaxed

Computed properties:
For the formation energy from raw total energies, the calculation gives -1461 meV per atom.

a = 4.968 Å, b = 5.973 Å, c = 5.973 Å
α = 80.02°, β = 65.43°, γ = 65.43°
Element x y z (fractional)
Tb  0.809  0.800  0.583
Tb  0.191  0.200  0.417
Tb  0.392  0.417  0.800
Tb  0.608  0.583  0.200
Zr  0.000  0.000  0.000
N  0.286  0.807  0.621
N  0.093  0.621  0.193
N  0.714  0.193  0.379
N  0.907  0.379  0.807

=====

2.
Mn2Au | PBE | relaxed

Computed properties:
The total energy is -19.78 eV/f.u.

a = 3.136 Å, b = 3.136 Å, c = 4.455 Å
α = 90.00°, β = 90.00°, γ = 90.00°
Element x y z (fractional)
Mn  0.000  0.500  0.000
Mn  0.500  0.000  0.000
Au  0.500  0.500  0.500

=====

3.
YMgTl | PBE | relaxed

Computed properties:
The total energy is -10.64 eV/f.u.

a = 9.012 Å, b = 6.512 Å, c = 5.220 Å
α = 90.00°, β = 90.00°, γ = 90.00°
Element x y z (fractional)
Mg  0.333  0.750  0.000
Mg  0.167  0.250  0.500
Mg  0.667  0.250  0.000
Mg  0.833  0.750  0.500
Y  0.667  0.750  0.000
Y  0.167  0.750  0.500
Y  0.333  0.250  0.000
Y  0.833  0.250  0.500
Tl  0.500  0.500  0.500
Tl  0.000  0.000  0.000
Tl  0.500  0.000  0.500
Tl  0.000  0.500  0.000

=====

4.
SrTiBe2Se | PBE | relaxed

Computed properties:
For the formation energy from raw total energies, the calculation gives 584 meV per atom.

a = 4.696 Å, b = 4.784 Å, c = 4.696 Å
α = 90.00°, β = 90.00°, γ = 90.00°
Element x y z (fractional)
Be  0.500  0.000  0.000
Be  0.000  0.000  0.500
Se  0.000  0.000  0.000
Ti  0.000  0.500  0.000
Sr  0.500  0.500  0.500

=====

5.
SmH2Rh | PBE | relaxed

Computed properties:
The total energy is -19.67 eV/f.u.

a = 3.625 Å, b = 3.625 Å, c = 4.717 Å
α = 67.40°, β = 67.40°, γ = 60.00°
Element x y z (fractional)
H  0.288  0.288  0.135
H  0.712  0.712  0.865
Sm  0.500  0.500  0.500
Rh  0.000  0.000  0.000

=====

6.
Ac2CuHg3 | PBE | relaxed

Computed properties:
The total energy is -15.54 eV/f.u.

a = 6.313 Å, b = 6.313 Å, c = 10.000 Å
α = 112.99°, β = 112.99°, γ = 76.28°
Element x y z (fractional)
Ac  0.250  0.750  0.500
Ac  0.750  0.250  0.500
Ac  0.247  0.753  0.000
Ac  0.753  0.247  0.000
Hg  0.176  0.176  0.826
Hg  0.827  0.827  0.653
Hg  0.824  0.824  0.174
Hg  0.651  0.651  0.826
Hg  0.173  0.173  0.347
Hg  0.349  0.349  0.174
Cu  0.332  0.332  0.665
Cu  0.668  0.668  0.335

=====

7.
Ho6TmNi3 | PBE | relaxed

Computed properties:
The total energy is -51.73 eV/f.u.

a = 7.006 Å, b = 8.446 Å, c = 8.446 Å
α = 99.82°, β = 90.00°, γ = 90.00°
Element x y z (fractional)
Ni  0.455  0.301  0.089
Ni  0.455  0.911  0.699
Ni  0.955  0.699  0.911
Ni  0.879  0.584  0.416
Ni  0.379  0.416  0.584
Ni  0.955  0.089  0.301
Ho  0.509  0.226  0.774
Ho  0.009  0.774  0.226
Ho  0.172  0.370  0.297
Ho  0.172  0.703  0.630
Ho  0.819  0.966  0.581
Ho  0.672  0.630  0.703
Ho  0.161  0.033  0.967
Ho  0.661  0.967  0.033
Ho  0.319  0.581  0.966
Ho  0.819  0.419  0.034
Ho  0.319  0.034  0.419
Ho  0.672  0.297  0.370
Tm  0.047  0.322  0.678
Tm  0.547  0.678  0.322

=====

8.
BaLi2Sc | PBE | relaxed

Computed properties:
The total energy is -10.71 eV/f.u.

a = 11.208 Å, b = 11.208 Å, c = 11.208 Å
α = 18.09°, β = 18.09°, γ = 18.09°
Last column: magnetic moment on the atom in μB.
Element x y z (fractional)
Sc  0.250  0.250  0.250  0.34
Ba  0.750  0.750  0.750  0.01
Li  0.991  0.991  0.991  0.01
Li  0.509  0.509  0.509  0.01

=====

9.
BeSiPt2 | PBE | relaxed

Computed properties:
For the formation energy from raw total energies, the calculation gives -576 meV per atom.

a = 3.109 Å, b = 3.235 Å, c = 5.373 Å
α = 90.00°, β = 90.00°, γ = 90.00°
Element x y z (fractional)
Be  0.500  0.500  0.770
Si  0.000  0.000  0.493
Pt  0.500  0.500  0.306
Pt  0.000  0.000  0.930

=====

10.
Sm2Ga12Pt | PBE | relaxed

Computed properties:
The total energy is -58.41 eV/f.u.

a = 6.158 Å, b = 6.158 Å, c = 15.424 Å
α = 90.00°, β = 90.00°, γ = 90.00°
Element x y z (fractional)
Ga  0.333  0.833  0.431
Ga  0.250  0.250  0.090
Ga  0.500  0.500  0.653
Ga  0.000  0.000  0.812
Ga  0.750  0.250  0.910
Ga  0.500  0.500  0.347
Ga  0.750  0.750  0.090
Ga  0.333  0.167  0.569
Ga  0.667  0.167  0.431
Ga  0.500  0.500  0.188
Ga  0.250  0.750  0.910
Ga  0.833  0.667  0.431
Ga  0.667  0.833  0.569
Ga  0.750  0.750  0.910
Ga  0.500  0.500  0.812
Ga  0.000  0.000  0.653
Ga  0.000  0.000  0.188
Ga  0.167  0.333  0.431
Ga  0.167  0.667  0.569
Ga  0.833  0.333  0.569
Ga  0.250  0.750  0.090
Ga  0.250  0.250  0.910
Ga  0.000  0.000  0.347
Ga  0.750  0.250  0.090
Sm  0.000  0.500  0.757
Sm  0.500  0.000  0.757
Sm  0.500  0.000  0.243
Sm  0.000  0.500  0.243
Pt  0.500  0.000  0.000
Pt  0.000  0.500  0.000

=====

11.
Tm5FePb4 | PBE | relaxed

Computed properties:
The total energy is -47.58 eV/f.u.

a = 5.281 Å, b = 7.679 Å, c = 7.679 Å
α = 83.21°, β = 69.89°, γ = 69.89°
Element x y z (fractional)
Tm  0.826  0.000  0.350
Tm  0.176  0.000  0.650
Tm  0.176  0.650  0.000
Tm  0.501  0.000  0.000
Tm  0.826  0.350  0.000
Pb  0.824  0.678  0.678
Pb  0.501  0.322  0.678
Pb  0.179  0.322  0.322
Pb  0.501  0.678  0.322
Fe  0.001  0.000  0.000

=====

12.
FeNiMo | PBE | relaxed

Computed properties:
The total energy is -24.99 eV/f.u.

a = 4.533 Å, b = 7.815 Å, c = 4.492 Å
α = 90.00°, β = 108.16°, γ = 90.00°
Last column: magnetic moment on the atom in μB.
Element x y z (fractional)
Ni  0.000  0.670  0.500  0.08
Ni  0.000  0.330  0.500  0.08
Ni  0.000  0.170  0.000  0.08
Ni  0.000  0.830  0.000  0.08
Mo  0.500  0.500  0.500  -0.34
Mo  0.000  0.000  0.500  -0.20
Mo  0.000  0.500  0.000  -0.20
Mo  0.500  0.000  0.000  -0.34
Fe  0.500  0.327  0.000  1.91
Fe  0.500  0.827  0.500  1.91
Fe  0.500  0.673  0.000  1.91
Fe  0.500  0.173  0.500  1.91